A | Below is UCo3Ge2 after structural relaxation, with properties calculated at the PBE-GGA level.

Cell lengths 15.697, 3.775, 9.197 Å; angles 90.00, 106.49, 90.00 degrees
Space group C2/m (No. 12)
Symmetry-distinct sites (fractional):
U1 0.000 0.000 0.000 x2
U2 0.168 0.000 0.706 x4
Co1 0.000 0.500 0.500 x2
Co2 0.047 0.000 0.334 x4
Co3 0.109 0.500 0.180 x4
Co4 0.178 0.500 0.955 x4
Co5 0.218 0.000 0.389 x4
Ge1 0.039 0.500 0.771 x4
Ge2 0.138 0.500 0.448 x4
Ge3 0.192 0.000 0.121 x4

Calculated values
Total magnetization = 0.23 μB per formula unit

B | Below is UCo3Ge2 after structural relaxation, with properties calculated at the PBE-GGA level.

Cell lengths 4.690, 9.161, 4.017 Å; angles 90.00, 90.00, 90.00 degrees
Space group Pmmn (No. 59, origin choice 2)
Symmetry-distinct sites (fractional):
U1 0.250 0.250 0.189 x2
Co1 0.250 0.046 0.662 x4
Co2 0.250 0.750 0.674 x2
Ge1 0.250 0.595 0.173 x4

Calculated values
Total magnetization = 0.00 μB per formula unit

Verdict on stability: B comes out at the bottom.

A | Below is UCo2Ge2 after structural relaxation, with properties calculated at the PBE-GGA level.

Cell lengths 4.034, 4.034, 9.715 Å; angles 90.00, 90.00, 90.00 degrees
Space group I4/mmm (No. 139)
Symmetry-distinct sites (fractional):
U1 0.000 0.000 0.000 x2
Co1 0.000 0.500 0.250 x4
Ge1 0.000 0.000 0.371 x4

Calculated values
Total magnetization = 3.01 μB per formula unit

B | Below is UCo2Ge2 after structural relaxation, with properties calculated at the PBE-GGA level.

Cell lengths 4.064, 4.064, 9.403 Å; angles 90.00, 90.00, 90.00 degrees
Space group P4/nmm (No. 129, origin choice 2)
Symmetry-distinct sites (fractional):
U1 0.250 0.250 0.243 x2
Co1 0.250 0.250 0.627 x2
Co2 0.250 0.750 0.000 x2
Ge1 0.250 0.250 0.869 x2
Ge2 0.250 0.750 0.500 x2

Calculated values
Total magnetization = 0.29 μB per formula unit

C | Below is UCo2Ge2 after structural relaxation, with properties calculated at the PBE-GGA level.

Cell lengths 5.491, 9.074, 12.883 Å; angles 90.00, 90.00, 90.00 degrees
Space group Fddd (No. 70, origin choice 2)
Symmetry-distinct sites (fractional):
U1 0.125 0.125 0.125 x8
Co1 0.125 0.364 0.625 x16
Ge1 0.125 0.125 0.521 x16

Calculated values
Total magnetization = 1.16 μB per formula unit

Verdict on stability: C comes out at the bottom.

A | Below is UCo4Ge after structural relaxation, with properties calculated at the PBE-GGA level.

Cell lengths 6.816, 6.816, 6.816 Å; angles 90.00, 90.00, 90.00 degrees
Space group F-43m (No. 216)
Symmetry-distinct sites (fractional):
U1 0.000 0.000 0.000 x4
Co1 0.123 0.123 0.377 x16
Ge1 0.250 0.250 0.750 x4

Calculated values
Total magnetization = 0.00 μB per formula unit

B | Below is UCo4Ge after structural relaxation, with properties calculated at the PBE-GGA level.

Cell lengths 4.755, 4.755, 16.213 Å; angles 90.00, 90.00, 90.00 degrees
Space group I4_1/amd (No. 141, origin choice 2)
Symmetry-distinct sites (fractional):
U1 0.000 0.250 0.375 x4
Co1 0.000 0.008 0.745 x16
Ge1 0.000 0.250 0.875 x4

Calculated values
Total magnetization = 1.60 μB per formula unit

Verdict on stability: B comes out at the bottom.

A | Below is VCo4Ge after structural relaxation, with properties calculated at the PBE-GGA level.

Cell lengths 4.196, 15.182, 4.392 Å; angles 90.00, 90.00, 90.00 degrees
Space group Imma (No. 74)
Symmetry-distinct sites (fractional):
V1 0.000 0.000 0.000 x4
Co1 0.000 0.085 0.440 x8
Co2 0.000 0.166 0.934 x8
Ge1 0.000 0.250 0.450 x4

Calculated values
Total magnetization = 3.01 μB per formula unit

B | Below is VCo4Ge after structural relaxation, with properties calculated at the PBE-GGA level.

Cell lengths 6.985, 7.991, 6.250 Å; angles 90.00, 120.51, 90.00 degrees
Space group C2/c (No. 15)
Symmetry-distinct sites (fractional):
V1 0.000 0.089 0.250 x4
Co1 0.124 0.362 0.472 x8
Co2 0.208 0.140 0.786 x8
Ge1 0.000 0.383 0.750 x4

Calculated values
Total magnetization = 1.52 μB per formula unit

C | Below is VCo4Ge after structural relaxation, with properties calculated at the PBE-GGA level.

Cell lengths 6.567, 6.567, 6.567 Å; angles 90.00, 90.00, 90.00 degrees
Space group F-43m (No. 216)
Symmetry-distinct sites (fractional):
V1 0.000 0.000 0.000 x4
Co1 0.125 0.125 0.625 x16
Ge1 0.250 0.250 0.250 x4

Calculated values
Total magnetization = 2.39 μB per formula unit

Verdict on stability: B comes out at the bottom.